This record from Alexandria via LeMat-Bulk describes a relaxed BaIrBr2 crystal. The functional is PBE.

Results
- ΔE_f (raw) (eV per formula unit) = -1.36
- E_tot (eV/atom) = -3.873
- space group = I-42d (122)
- DOS(E_F) (states/eV/cell) = 4.698
- energy above the most stable polymorph in this dataset (meV/atom) = 291.3

Cell and atoms, written as POSCAR:
```
BaIrBr2
1.0
-2.736 2.736 8.389
2.736 -2.736 8.389
2.736 2.736 -8.389
Ba Ir Br
2 2 4
direct
0.000 0.000 0.000
0.750 0.250 0.500
0.250 0.750 0.500
0.500 0.500 0.000
0.224 0.625 0.099
0.375 0.474 0.599
0.526 0.125 0.901
0.875 0.776 0.401
```